Entry 1:
# MgCrCu2

Crystalline MgCrCu2 at its relaxed geometry (PBE-GGA, Alexandria).

## Properties
For the total energy, the calculation gives -18.40 eV per formula unit. As for the formation energy: 253 meV per atom. Its space group is F-43m, No. 216.

Cell lengths 4.323, 4.323, 4.323 Å; angles 60.00, 60.00, 60.00 degrees
Element x y z (fractional)
1 Mg 0.000 0.000 0.000
2 Cr 0.750 0.750 0.750
3 Cu 0.250 0.250 0.250
4 Cu 0.500 0.500 0.500

Entry 2:
# MgCrCu2

Crystalline MgCrCu2 at its relaxed geometry (PBE-GGA, Alexandria).

## Properties
For the total energy, the calculation gives -18.62 eV per formula unit. As for the formation energy: 196 meV per atom. Its space group is I-4m2, No. 119.

Cell lengths 4.795, 4.795, 4.795 Å; angles 132.89, 132.89, 68.82 degrees
Element x y z (fractional)
1 Mg 0.000 0.000 0.000
2 Cr 0.750 0.250 0.500
3 Cu 0.250 0.750 0.500
4 Cu 0.500 0.500 0.000

Entry 3:
# Mg4CrCu

Crystalline Mg4CrCu at its relaxed geometry (PBE-GGA, Alexandria).

## Properties
For the total energy, the calculation gives -17.33 eV per formula unit. As for the formation energy: 461 meV per atom. Its space group is F-43m, No. 216.

Cell lengths 5.557, 5.557, 5.557 Å; angles 60.00, 60.00, 60.00 degrees
Element x y z (fractional)
1 Mg 0.125 0.125 0.125
2 Mg 0.125 0.125 0.624
3 Mg 0.125 0.624 0.125
4 Mg 0.624 0.125 0.125
5 Cr 0.750 0.750 0.750
6 Cu 0.500 0.500 0.500

Entry 4:
# MgCrCu2

Crystalline MgCrCu2 at its relaxed geometry (PBE-GGA, Alexandria).

## Properties
For the total energy, the calculation gives -18.69 eV per formula unit. As for the formation energy: 180 meV per atom. Its space group is P2/m, No. 10.

Cell lengths 3.029, 3.115, 6.163 Å; angles 90.00, 90.09, 90.00 degrees
Element x y z (fractional)
1 Mg 0.000 0.000 0.000
2 Cr 0.000 0.000 0.500
3 Cu 0.500 0.500 0.271
4 Cu 0.500 0.500 0.729

Entry 5:
# MgCrCu2

Crystalline MgCrCu2 at its relaxed geometry (PBE-GGA, Alexandria).

## Properties
For the total energy, the calculation gives -18.32 eV per formula unit. As for the formation energy: 273 meV per atom. Its space group is P4mm, No. 99.

Cell lengths 2.643, 2.643, 7.674 Å; angles 90.00, 90.00, 90.00 degrees
Element x y z (fractional)
1 Mg 0.000 0.000 0.000
2 Cr 0.500 0.500 0.277
3 Cu 0.000 0.000 0.507
4 Cu 0.500 0.500 0.734

Entry 6:
# MgCrCu3

Crystalline MgCrCu3 at its relaxed geometry (PBE-GGA, Alexandria).

## Properties
The calculation puts the distance to the lowest polymorph of the same formula at 0.00 eV per formula unit. For the total energy, the calculation gives -18.74 eV per formula unit. As for the formation energy: 954 meV per atom. Its space group is Pm-3m, No. 221.

Cell lengths 4.559, 4.559, 4.559 Å; angles 90.00, 90.00, 90.00 degrees
Element x y z (fractional)
1 Mg 0.000 0.000 0.000
2 Cr 0.500 0.500 0.500
3 Cu 0.000 0.500 0.500
4 Cu 0.500 0.000 0.500
5 Cu 0.500 0.500 0.000

Entry 7:
# MgCrCu2

Crystalline MgCrCu2 at its relaxed geometry (PBE-GGA, Alexandria).

## Properties
For the total energy, the calculation gives -18.49 eV per formula unit. As for the formation energy: 231 meV per atom. Its space group is P4/mmm, No. 123.

Cell lengths 2.662, 2.662, 7.530 Å; angles 90.00, 90.00, 90.00 degrees
Element x y z (fractional)
1 Mg 0.000 0.000 0.000
2 Cr 0.000 0.000 0.500
3 Cu 0.500 0.500 0.266
4 Cu 0.500 0.500 0.734

Entry 8:
# MgCrCu2

Crystalline MgCrCu2 at its relaxed geometry (PBE-GGA, Alexandria).

## Properties
For the total energy, the calculation gives -18.10 eV per formula unit. As for the formation energy: 329 meV per atom. Its space group is R-3m, No. 166.

Cell lengths 8.919, 8.919, 8.919 Å; angles 17.17, 17.17, 17.17 degrees
Element x y z (fractional)
1 Mg 0.000 0.000 0.000
2 Cr 0.500 0.500 0.500
3 Cu 0.247 0.247 0.247
4 Cu 0.753 0.753 0.753

Entry 9:
# Mg6CrCu

Crystalline Mg6CrCu at its relaxed geometry (PBE-GGA, Alexandria).

## Properties
For the total energy, the calculation gives -22.08 eV per formula unit. As for the formation energy: 150 meV per atom. Its space group is Amm2, No. 38.

Cell lengths 4.873, 6.116, 6.116 Å; angles 60.20, 90.00, 90.00 degrees
Element x y z (fractional)
1 Mg 0.000 0.000 0.000
2 Mg 0.000 0.011 0.506
3 Mg 0.000 0.498 0.498
4 Mg 0.000 0.506 0.011
5 Mg 0.500 0.336 0.840
6 Mg 0.500 0.840 0.336
7 Cr 0.500 0.838 0.838
8 Cu 0.500 0.337 0.337

Entry 10:
# MgCrCu2

Crystalline MgCrCu2 at its relaxed geometry (PBE-GGA, Alexandria).

## Properties
For the total energy, the calculation gives -18.59 eV per formula unit. As for the formation energy: 206 meV per atom. Its space group is C2/m, No. 12.

Cell lengths 4.594, 4.594, 4.069 Å; angles 116.20, 116.20, 49.17 degrees
Element x y z (fractional)
1 Mg 0.000 0.000 0.000
2 Cr 0.500 0.500 0.500
3 Cu 0.249 0.249 0.749
4 Cu 0.751 0.751 0.251

Entry 11:
# NaMgCrCu2

Crystalline NaMgCrCu2 at its relaxed geometry (PBE-GGA, Alexandria).

## Properties
For the total energy, the calculation gives -16.03 eV per formula unit. As for the formation energy: 939 meV per atom. Its space group is P4/mmm, No. 123.

Cell lengths 4.747, 4.747, 5.026 Å; angles 90.00, 90.00, 90.00 degrees
Element x y z (fractional)
1 Na 0.000 0.000 0.000
2 Mg 0.500 0.500 0.000
3 Cr 0.000 0.000 0.500
4 Cu 0.000 0.500 0.500
5 Cu 0.500 0.000 0.500

Entry 12:
# NaMgCr2Cu

Crystalline NaMgCr2Cu at its relaxed geometry (PBE-GGA, Alexandria).

## Properties
For the total energy, the calculation gives -17.88 eV per formula unit. As for the formation energy: 1675 meV per atom. Its space group is P4/mmm, No. 123.

Cell lengths 4.928, 4.928, 5.006 Å; angles 90.00, 90.00, 90.00 degrees
Element x y z (fractional)
1 Na 0.000 0.000 0.000
2 Mg 0.000 0.000 0.500
3 Cr 0.000 0.500 0.000
4 Cr 0.500 0.000 0.000
5 Cu 0.500 0.500 0.500

Q: The highest formation energy belongs to which entry?
A: NaMgCr2Cu

Copy entry 12 word for word.
# NaMgCr2Cu

Crystalline NaMgCr2Cu at its relaxed geometry (PBE-GGA, Alexandria).

## Properties
For the total energy, the calculation gives -17.88 eV per formula unit. As for the formation energy: 1675 meV per atom. Its space group is P4/mmm, No. 123.

Cell lengths 4.928, 4.928, 5.006 Å; angles 90.00, 90.00, 90.00 degrees
Element x y z (fractional)
1 Na 0.000 0.000 0.000
2 Mg 0.000 0.000 0.500
3 Cr 0.000 0.500 0.000
4 Cr 0.500 0.000 0.000
5 Cu 0.500 0.500 0.500

Q: Which formula does entry 10 have?
A: MgCrCu2